Record 1
A plane-wave DFT calculation with PBE-GGA was carried out for a relaxed La2AlZnCo crystal.

Unit cell a=5.271 b=5.271 c=4.617 alpha=90.00 beta=90.00 gamma=90.00
Positions (direct):
La (0.000, 0.500, 0.000)
La (0.500, 0.000, 0.000)
Al (0.000, 0.000, 0.500)
Zn (0.500, 0.500, 0.500)
Co (0.000, 0.000, 0.000)

## Properties
* formation energy: -0.23 eV per atom


Record 2
A plane-wave DFT calculation with PBE-GGA was carried out for a relaxed Be2TlAs crystal.

Unit cell a=3.665 b=3.665 c=6.911 alpha=105.95 beta=105.95 gamma=60.00
Positions (direct):
Be (0.000, 0.000, 0.000)
Be (0.670, 0.670, 0.009)
Tl (0.453, 0.453, 0.348)
As (0.274, 0.274, 0.828)

## Properties
* relative energy among the computed polymorphs: 0.000 eV/atom
* formation energy: 0.20 eV per atom


Record 3
A plane-wave DFT calculation with PBE-GGA was carried out for a relaxed SiTe2Au crystal.

Unit cell a=3.077 b=4.021 c=8.020 alpha=90.00 beta=90.72 gamma=90.00
Positions (direct):
Si (0.000, 0.000, 0.000)
Te (0.007, 0.500, 0.247)
Te (0.993, 0.500, 0.753)
Au (0.000, 0.000, 0.500)

## Properties
* uncorrected formation energy: 0.185 eV/atom


Record 4
A plane-wave DFT calculation with PBE-GGA was carried out for a relaxed RbCd3Cu4Cl12 crystal.

Unit cell a=8.660 b=8.660 c=8.660 alpha=105.70 beta=105.70 gamma=105.70
Positions (direct):
Rb (0.000, 0.000, 0.000)
Cd (0.000, 0.566, 0.434)
Cd (0.434, 0.000, 0.566)
Cd (0.566, 0.434, 0.000)
Cu (0.079, 0.500, 0.921)
Cu (0.500, 0.500, 0.500)
Cu (0.500, 0.921, 0.079)
Cu (0.921, 0.079, 0.500)
Cl (0.018, 0.643, 0.755)
Cl (0.088, 0.912, 0.500)
Cl (0.245, 0.357, 0.982)
Cl (0.339, 0.661, 0.500)
Cl (0.357, 0.982, 0.245)
Cl (0.500, 0.088, 0.912)
Cl (0.500, 0.339, 0.661)
Cl (0.643, 0.755, 0.018)
Cl (0.661, 0.500, 0.339)
Cl (0.755, 0.018, 0.643)
Cl (0.912, 0.500, 0.088)
Cl (0.982, 0.245, 0.357)

## Properties
* uncorrected formation energy: -0.875 eV/atom